[1]
{
  "formula": "CsSmPuO6",
  "functional": "PBE",
  "state": "relaxed",
  "formation_energy_uncorrected_kj_per_mol_fu": -2095,
  "magmom_total_mub_per_fu": 0.0,
  "vol_a3_per_atom": 22.02,
  "cell": [[5.983, 0.000, 0.000], [-2.992, 5.182, 0.000], [0.000, 0.000, 6.390]],
  "species": ["Cs", "Sm", "Pu", "O", "O", "O", "O", "O", "O"],
  "fractional_positions": [[0.000, 0.000, 0.000], [0.333, 0.667, 0.500], [0.667, 0.333, 0.500], [0.413, 0.043, 0.674], [0.413, 0.370, 0.326], [0.630, 0.043, 0.326], [0.630, 0.587, 0.674], [0.957, 0.370, 0.674], [0.957, 0.587, 0.326]]
}


[2]
{
  "formula": "Cs2Sm2PuO6",
  "functional": "PBE",
  "state": "relaxed",
  "dos_at_fermi_per_ev_atom": 0.1510,
  "formation_energy_uncorrected_kj_per_mol_fu": -2882,
  "magmom_total_mub_per_fu": 4.0,
  "vol_a3_per_atom": 21.31,
  "cell": [[3.102, -5.360, 0.000], [3.102, 5.360, 0.000], [-2.051, 0.000, 7.051]],
  "species": ["Cs", "Cs", "Sm", "Sm", "Pu", "O", "O", "O", "O", "O", "O"],
  "fractional_positions": [[0.167, 0.833, 0.000], [0.833, 0.167, 0.000], [0.334, 0.666, 0.500], [0.666, 0.334, 0.500], [0.000, 0.000, 0.500], [0.047, 0.371, 0.657], [0.261, 0.261, 0.344], [0.371, 0.047, 0.657], [0.629, 0.953, 0.343], [0.739, 0.739, 0.656], [0.953, 0.629, 0.343]]
}


[3]
{
  "formula": "Cs4SmPu3O12",
  "functional": "PBE",
  "state": "relaxed",
  "dos_at_fermi_per_ev_atom": 0.4619,
  "formation_energy_uncorrected_kj_per_mol_fu": -4761,
  "magmom_total_mub_per_fu": 7.0,
  "vol_a3_per_atom": 17.17,
  "cell": [[-4.411, 4.411, 4.411], [4.411, -4.411, 4.411], [4.411, 4.411, -4.411]],
  "species": ["Cs", "Cs", "Cs", "Cs", "Sm", "Pu", "Pu", "Pu", "O", "O", "O", "O", "O", "O", "O", "O", "O", "O", "O", "O"],
  "fractional_positions": [[0.000, 0.000, 0.500], [0.000, 0.500, 0.000], [0.500, 0.000, 0.000], [0.500, 0.500, 0.500], [0.000, 0.000, 0.000], [0.000, 0.500, 0.500], [0.500, 0.000, 0.500], [0.500, 0.500, 0.000], [0.000, 0.272, 0.272], [0.000, 0.728, 0.728], [0.250, 0.500, 0.750], [0.250, 0.750, 0.500], [0.272, 0.000, 0.272], [0.272, 0.272, 0.000], [0.500, 0.250, 0.750], [0.500, 0.750, 0.250], [0.728, 0.000, 0.728], [0.728, 0.728, 0.000], [0.750, 0.250, 0.500], [0.750, 0.500, 0.250]]
}


[4]
{
  "formula": "CsSm2PuO8",
  "functional": "PBE",
  "state": "relaxed",
  "formation_energy_uncorrected_kj_per_mol_fu": -2858,
  "magmom_total_mub_per_fu": 1.0,
  "vol_a3_per_atom": 17.89,
  "cell": [[3.628, -3.667, 0.000], [3.628, 3.667, 0.000], [-0.255, 0.000, 8.067]],
  "species": ["Cs", "Sm", "Sm", "Pu", "O", "O", "O", "O", "O", "O", "O", "O"],
  "fractional_positions": [[0.000, 0.000, 0.000], [0.489, 0.489, 0.715], [0.511, 0.511, 0.285], [0.000, 0.000, 0.500], [0.168, 0.797, 0.323], [0.203, 0.832, 0.677], [0.293, 0.293, 0.487], [0.396, 0.396, 0.998], [0.604, 0.604, 0.002], [0.707, 0.707, 0.513], [0.797, 0.168, 0.323], [0.832, 0.203, 0.677]]
}